# 1
A relaxed TmScPt2 crystal. Source: Alexandria via LeMat-Bulk, functional PBE-GGA.

```
4
Lattice="3.336 0.000 0.000 0.000 3.336 0.000 0.000 0.000 6.908" Properties=species:S:1:pos:R:3 pbc="T T T"
Tm 1.668 1.668 3.454
Pt 0.000 0.000 5.291
Sc 1.668 1.668 0.000
Pt 0.000 0.000 1.617
```

Calculated volume: 76.9 Å³/f.u.
Calculated density: 13.05 Mg/m³
Offset from the most stable computed form: 0.004 eV/atom
N(E_F): 2.7 states/eV per cell
Total moment: 0.00 μB/f.u.
Formation energy: -5.00 eV/f.u.

***

# 2
A relaxed Y5Er12Mg2 crystal. Source: Alexandria via LeMat-Bulk, functional PBE-GGA.

```
19
Lattice="8.992 0.000 0.000 -4.496 7.789 1.381 0.000 -1.473 8.158" Properties=species:S:1:pos:R:3 pbc="T T T"
Y 4.496 3.476 4.160
Mg 2.924 0.000 0.000
Er 0.000 5.941 6.664
Er -2.824 4.277 7.105
Er 6.254 0.953 5.763
Mg 6.068 0.000 0.000
Y 4.496 3.082 0.568
Er 1.758 5.363 3.776
Er 4.496 6.214 1.961
Er 7.320 2.039 2.434
Y 0.000 2.840 5.379
Er 0.000 0.102 7.578
Er 1.672 2.039 2.434
Er -1.758 5.363 3.776
Er 4.496 0.375 2.875
Er 2.738 0.953 5.763
Y 0.000 -0.737 4.079
Y 0.000 3.234 8.971
Er 2.824 4.277 7.105
```

Calculated volume: 589.7 Å³/f.u.
Calculated density: 7.04 Mg/m³
N(E_F): 30.3 states/eV per cell
Total moment: 0.00 μB/f.u.
Formation energy: 1.87 eV/f.u.

***

# 3
A relaxed CaSn2Ge crystal. Source: Alexandria via LeMat-Bulk, functional PBE-GGA.

```
4
Lattice="-3.345 1.995 -0.312 -2.848 -1.314 -2.329 -5.292 -4.178 5.554" Properties=species:S:1:pos:R:3 pbc="T T T"
Sn -8.749 -2.808 2.454
Ca -5.743 -1.749 1.456
Sn -2.736 -0.690 0.458
Ge 0.000 0.000 0.000
```

Calculated volume: 111.6 Å³/f.u.
Calculated density: 5.21 Mg/m³
N(E_F): 2.8 states/eV per cell
Total moment: 0.00 μB/f.u.
Formation energy: -0.45 eV/f.u.

***

# 4
A relaxed TmTi2Pt9 crystal. Source: Alexandria via LeMat-Bulk, functional PBE-GGA.

```
12
Lattice="-0.514 3.470 1.913 -3.436 -1.352 1.528 5.926 -4.349 9.480" Properties=species:S:1:pos:R:3 pbc="T T T"
Pt 0.032 -0.414 4.932
Pt 0.800 0.959 2.647
Pt -0.661 -1.451 2.455
Tm 0.000 0.000 0.000
Pt 3.151 -4.249 8.553
Pt 2.706 -0.439 5.697
Ti 3.944 -2.894 6.309
Pt 1.245 -2.850 5.504
Pt 1.943 -1.816 7.989
Pt 4.612 -1.838 8.746
Pt -1.975 1.059 1.721
Ti 1.982 -1.455 3.171
```

Calculated volume: 191.5 Å³/f.u.
Calculated density: 17.52 Mg/m³
N(E_F): 4.1 states/eV per cell
Total moment: 0.00 μB/f.u.
Formation energy: -11.49 eV/f.u.

***

# 5
A relaxed Ca3BeGa crystal. Source: Alexandria via LeMat-Bulk, functional PBE-GGA.

```
5
Lattice="-4.444 3.182 0.043 -0.923 -1.218 -5.249 -3.046 -4.275 1.527" Properties=species:S:1:pos:R:3 pbc="T T T"
Ca -2.222 1.591 0.022
Ca -1.523 -2.137 0.764
Ga -4.207 -1.155 -1.839
Ca -0.461 -0.609 -2.624
Be 0.000 0.000 0.000
```

Calculated volume: 163.3 Å³/f.u.
Calculated density: 2.02 Mg/m³
Offset from the most stable computed form: 0.000 eV/atom
N(E_F): 7.8 states/eV per cell
Total moment: 0.00 μB/f.u.
Formation energy: 1.49 eV/f.u.

***

# 6
A relaxed Zn2Cd2Ni crystal. Source: Alexandria via LeMat-Bulk, functional PBE-GGA.

```
10
Lattice="6.334 0.000 0.000 0.000 6.334 0.000 0.000 0.000 4.351" Properties=species:S:1:pos:R:3 pbc="T T T"
Zn 4.078 0.911 0.000
Cd 4.270 5.230 2.176
Cd 2.063 1.103 2.176
Zn 2.256 5.422 0.000
Ni 0.000 0.000 0.000
Cd 1.103 4.270 2.176
Cd 5.230 2.063 2.176
Zn 5.422 4.078 0.000
Ni 3.167 3.167 0.000
Zn 0.911 2.256 0.000
```

Calculated volume: 87.3 Å³/f.u.
Calculated density: 7.88 Mg/m³
Offset from the most stable computed form: 0.000 eV/atom
N(E_F): 3.4 states/eV per cell
Total moment: 0.00 μB/f.u.
Formation energy: 0.67 eV/f.u.

***

# 7
A relaxed LiCuNi crystal. Source: Alexandria via LeMat-Bulk, functional PBE-GGA.

```
3
Lattice="4.383 -0.004 0.002 2.069 3.864 -0.002 -2.759 -2.710 2.062" Properties=species:S:1:pos:R:3 pbc="T T T"
Ni 4.269 2.554 0.000
Li 2.149 1.286 0.000
Cu 0.035 0.021 0.000
```

Calculated volume: 34.9 Å³/f.u.
Calculated density: 6.14 Mg/m³
Offset from the most stable computed form: 0.052 eV/atom
N(E_F): 1.8 states/eV per cell
Total moment: 0.00 μB/f.u.
Formation energy: 0.01 eV/f.u.

***

# 8
A relaxed Zn4CdRe crystal. Source: Alexandria via LeMat-Bulk, functional PBE-GGA.

```
6
Lattice="0.000 3.566 3.566 3.566 0.000 3.566 3.566 3.566 0.000" Properties=species:S:1:pos:R:3 pbc="T T T"
Re 0.000 0.000 0.000
Zn 2.665 4.467 4.467
Cd 5.349 5.349 5.349
Zn 4.467 2.665 4.467
Zn 4.467 4.467 2.665
Zn 2.665 2.665 2.665
```

Calculated volume: 90.7 Å³/f.u.
Calculated density: 10.26 Mg/m³
N(E_F): 3.3 states/eV per cell
Total moment: 0.00 μB/f.u.
Formation energy: 2.12 eV/f.u.